--- P ---
Density functional theory data (PBE-GGA) for a relaxed Al2Bi3O9 crystal.

Unit cell a=3.620 b=3.620 c=12.751 alpha=90.00 beta=90.00 gamma=90.00
Fractional positions:
Al (0.000, 0.000, 0.167)
Al (0.000, 0.000, 0.833)
Bi (0.500, 0.500, 0.000)
Bi (0.500, 0.500, 0.370)
Bi (0.500, 0.500, 0.630)
O (0.000, 0.000, 0.000)
O (0.000, 0.000, 0.315)
O (0.000, 0.000, 0.685)
O (0.000, 0.500, 0.150)
O (0.000, 0.500, 0.500)
O (0.000, 0.500, 0.850)
O (0.500, 0.000, 0.150)
O (0.500, 0.000, 0.500)
O (0.500, 0.000, 0.850)

**DOS(E_F)**: 0.5756 states/eV/atom
**M_tot**: 1.82 μB/f.u.


--- Q ---
Density functional theory data (PBE-GGA) for a relaxed Al2Bi3O9 crystal.

Unit cell a=5.785 b=5.785 c=13.934 alpha=93.33 beta=93.33 gamma=53.74
Fractional positions:
Al (0.001, 0.999, 0.500)
Al (0.326, 0.366, 0.651)
Al (0.366, 0.326, 0.151)
Al (0.999, 0.001, 0.000)
Bi (0.046, 0.088, 0.738)
Bi (0.088, 0.046, 0.238)
Bi (0.403, 0.409, 0.379)
Bi (0.409, 0.403, 0.879)
Bi (0.713, 0.735, 0.544)
Bi (0.735, 0.713, 0.044)
O (0.017, 0.271, 0.079)
O (0.109, 0.705, 0.105)
O (0.133, 0.400, 0.260)
O (0.176, 0.596, 0.537)
O (0.233, 0.864, 0.393)
O (0.271, 0.017, 0.579)
O (0.366, 0.596, 0.740)
O (0.378, 0.785, 0.959)
O (0.400, 0.133, 0.760)
O (0.511, 0.935, 0.169)
O (0.596, 0.176, 0.037)
O (0.596, 0.366, 0.240)
O (0.705, 0.109, 0.605)
O (0.735, 0.944, 0.425)
O (0.785, 0.378, 0.459)
O (0.864, 0.233, 0.893)
O (0.935, 0.511, 0.669)
O (0.944, 0.735, 0.925)

**DOS(E_F)**: 0.2643 states/eV/atom
**M_tot**: 0.76 μB/f.u.


Among the structures above, stability is greatest for Q.